(1)
DFT (GGA-PBE) results for a relaxed Ti3V2Ni8 crystal.

abc: 4.6475 4.6475 9.5403
angles: 75.90 75.90 60.00
Each line ends with the local moment (μB).
Positions (direct):
Ti: 0.0000 0.0000 0.0000  0.59
Ti: 0.8103 0.8103 0.5692  -0.03
Ti: 0.1897 0.1897 0.4308  -0.03
V: 0.6369 0.6369 0.0893  0.48
V: 0.3631 0.3631 0.9107  0.48
Ni: 0.7199 0.7199 0.8402  0.15
Ni: 0.2801 0.2801 0.1598  0.15
Ni: 0.2259 0.7341 0.3059  0.08
Ni: 0.7341 0.2259 0.3059  0.08
Ni: 0.7341 0.7341 0.3059  0.08
Ni: 0.2659 0.7741 0.6941  0.08
Ni: 0.7741 0.2659 0.6941  0.08
Ni: 0.2659 0.2659 0.6941  0.08

***

(2)
DFT (GGA-PBE) results for a relaxed TiVNi3 crystal.

abc: 4.6867 5.7938 5.7911
angles: 120.03 90.00 90.00
Positions (direct):
Ti: 0.7500 0.6668 0.3335
Ti: 0.2500 0.3332 0.6665
V: 0.0000 0.0000 0.0000
V: 0.5000 0.0000 0.0000
Ni: 0.7500 0.5981 0.7993
Ni: 0.2500 0.7990 0.5979
Ni: 0.2500 0.4020 0.2007
Ni: 0.7500 0.2010 0.4021
Ni: 0.2500 0.7988 0.2007
Ni: 0.7500 0.2012 0.7993

***

(3)
DFT (GGA-PBE) results for a relaxed Ti2V2Ni crystal.

abc: 6.2494 6.2494 3.8003
angles: 90.00 90.00 90.00
Positions (direct):
Ni: 0.0000 0.0000 0.0000
Ni: 0.5000 0.5000 0.0000
V: 0.3625 0.8625 0.0000
V: 0.8625 0.6375 0.0000
V: 0.6375 0.1375 0.0000
V: 0.1375 0.3625 0.0000
Ti: 0.1679 0.6679 0.5000
Ti: 0.6679 0.8321 0.5000
Ti: 0.8321 0.3321 0.5000
Ti: 0.3321 0.1679 0.5000

***

(4)
DFT (GGA-PBE) results for a relaxed Ti4VNi2 crystal.

abc: 4.3354 4.3354 7.2582
angles: 72.62 72.62 60.00
Positions (direct):
Ti: 0.7361 0.7361 0.7917
Ti: 0.8708 0.8708 0.3876
Ti: 0.2639 0.2639 0.2083
Ti: 0.1292 0.1292 0.6124
V: 0.5000 0.5000 0.5000
Ni: 0.6191 0.6191 0.1427
Ni: 0.3809 0.3809 0.8573

***

(5)
DFT (GGA-PBE) results for a relaxed Ti2V3Ni8 crystal.

abc: 4.6732 7.3862 6.1597
angles: 126.84 80.63 90.00
Each line ends with the local moment (μB).
Positions (direct):
Ti: 0.1888 0.2739 0.5478  0.00
Ti: 0.8112 0.7261 0.4522  0.00
V: 0.5000 0.0000 0.0000  0.06
V: 0.0000 0.2052 0.0000  0.01
V: 0.0000 0.7948 0.0000  0.01
Ni: 0.2332 0.5278 0.0555  0.00
Ni: 0.7668 0.4722 0.9445  0.00
Ni: 0.7548 0.1866 0.3732  0.00
Ni: 0.2452 0.8134 0.6268  0.00
Ni: 0.5320 0.6018 0.7376  0.01
Ni: 0.5320 0.1358 0.7376  0.01
Ni: 0.4680 0.8642 0.2624  0.01
Ni: 0.4680 0.3982 0.2624  0.01

***

(6)
DFT (GGA-PBE) results for a relaxed TiV2Ni2 crystal.

abc: 7.1140 7.1140 2.6153
angles: 90.00 90.00 90.00
Each line ends with the local moment (μB).
Positions (direct):
Ni: 0.3762 0.8762 0.0000  0.06
Ni: 0.8762 0.6238 0.0000  0.06
Ni: 0.6238 0.1238 0.0000  0.06
Ni: 0.1238 0.3762 0.0000  0.06
V: 0.1723 0.6723 0.5000  0.38
V: 0.6723 0.8277 0.5000  0.38
V: 0.8277 0.3277 0.5000  0.38
V: 0.3277 0.1723 0.5000  0.38
Ti: 0.0000 0.0000 0.0000  0.36
Ti: 0.5000 0.5000 0.0000  0.36

***

(7)
DFT (GGA-PBE) results for a relaxed Ti3VNi7 crystal.

abc: 4.6434 6.4536 6.4536
angles: 86.04 118.07 118.07
Positions (direct):
Ti: 0.0000 0.7668 0.2332
Ti: 0.5000 0.0000 0.0000
Ti: 0.0000 0.2332 0.7668
V: 0.5000 0.5000 0.5000
Ni: 0.3072 0.1884 0.1884
Ni: 0.3342 0.0837 0.5816
Ni: 0.6658 0.4184 0.9163
Ni: 0.3342 0.5816 0.0837
Ni: 0.0000 0.5000 0.5000
Ni: 0.6658 0.9163 0.4184
Ni: 0.6928 0.8116 0.8116

***

(8)
DFT (GGA-PBE) results for a relaxed TiVNi crystal.

abc: 3.1023 3.1024 8.4797
angles: 90.00 89.99 90.00
Positions (direct):
Ti: 0.8723 0.2910 0.4854
Ti: 0.3726 0.7912 0.0269
V: 0.8724 0.2911 0.8264
V: 0.3722 0.7911 0.6859
Ni: 0.8726 0.2912 0.1719
Ni: 0.3725 0.7911 0.3404

***

no.,ρ (Mg/m³),calculated formation energy (eV per atom),calculated total energy (eV per atom)
1,6.9,-0.073,-6.856
2,6.7,0.135,-6.737
3,5.7,0.115,-7.846
4,5.4,0.103,-7.363
5,7.2,-0.112,-6.988
6,6.7,-0.055,-7.594
7,6.8,-0.046,-6.707
8,6.4,-0.226,-7.824